## Ba3Tl4Pt4 (PBE-GGA)

Data for Ba3Tl4Pt4 after structural relaxation.

a = 9.1694 Å, b = 9.1694 Å, c = 9.1694 Å
α = 150.89°, β = 126.00°, γ = 62.52°
Closest atoms and distances in Å follow each position.
Element x y z (fractional)
Ba (0.0000, 0.0000, 0.0000)  6 Pt 3.38-3.54
Ba (0.3770, 0.8770, 0.5000)  6 Pt 3.35-3.42, 6 Tl 3.50-3.64
Ba (0.6230, 0.1230, 0.5000)  6 Pt 3.35-3.42, 6 Tl 3.50-3.64
Tl (0.0269, 0.3306, 0.6963)  4 Pt 2.86-3.11
Tl (0.3657, 0.6694, 0.6963)  4 Pt 2.86-3.11
Tl (0.6343, 0.3306, 0.3037)  4 Pt 2.86-3.11
Tl (0.9731, 0.6694, 0.3037)  4 Pt 2.86-3.11
Pt (0.2155, 0.2155, 0.0000)  6 Tl 2.92-3.11
Pt (0.3229, 0.5000, 0.8229)  2 Tl 2.86, 1 Pt 2.95
Pt (0.6771, 0.5000, 0.1771)  2 Tl 2.86, 1 Pt 2.95
Pt (0.7845, 0.7845, 0.0000)  6 Tl 2.92-3.11

Output
Energy of formation (eV/atom): -0.53
N(E_F) (states/eV/f.u.): 4.0



## Ba2Tl6Pt3 (PBE-GGA)

Data for Ba2Tl6Pt3 after structural relaxation.

a = 8.6598 Å, b = 8.6598 Å, c = 4.8709 Å
α = 90.00°, β = 90.00°, γ = 120.00°
Closest atoms and distances in Å follow each position.
Element x y z (fractional)
Ba (0.3333, 0.6667, 0.0000)  9 Tl 3.56-3.86, 6 Pt 3.67
Ba (0.6667, 0.3333, 0.0000)  9 Tl 3.56-3.86, 6 Pt 3.67
Tl (0.0000, 0.2079, 0.0000)  2 Pt 2.81, 2 Tl 3.12
Tl (0.0000, 0.6898, 0.5000)  3 Pt 2.78-2.97
Tl (0.2079, 0.0000, 0.0000)  2 Pt 2.81, 2 Tl 3.12
Tl (0.3102, 0.3102, 0.5000)  3 Pt 2.78-2.97
Tl (0.6898, 0.0000, 0.5000)  3 Pt 2.78-2.97
Tl (0.7921, 0.7921, 0.0000)  2 Pt 2.81, 2 Tl 3.12
Pt (0.0000, 0.3687, 0.5000)  5 Tl 2.78-2.97
Pt (0.3687, 0.0000, 0.5000)  5 Tl 2.78-2.97
Pt (0.6313, 0.6313, 0.5000)  5 Tl 2.78-2.97

Output
Energy of formation (eV/atom): -0.31
N(E_F) (states/eV/f.u.): 7.0



## Ba5Tl2Pt2 (PBE-GGA)

Data for Ba5Tl2Pt2 after structural relaxation.

a = 10.1707 Å, b = 10.1707 Å, c = 8.6285 Å
α = 90.00°, β = 90.00°, γ = 49.46°
Closest atoms and distances in Å follow each position.
Element x y z (fractional)
Ba (0.0000, 0.0000, 0.0000)  4 Pt 3.42-3.44
Ba (0.0514, 0.7027, 0.6738)  3 Pt 3.39-3.43, 3 Tl 3.60-3.65
Ba (0.2027, 0.5514, 0.1738)  3 Pt 3.39-3.43, 3 Tl 3.60-3.65
Ba (0.2973, 0.9486, 0.6738)  3 Pt 3.39-3.43, 3 Tl 3.60-3.65
Ba (0.4486, 0.7973, 0.1738)  3 Pt 3.39-3.43, 3 Tl 3.60-3.65
Ba (0.5000, 0.5000, 0.5000)  4 Pt 3.42-3.44
Ba (0.5514, 0.2027, 0.8262)  3 Pt 3.39-3.43, 3 Tl 3.60-3.65
Ba (0.7027, 0.0514, 0.3262)  3 Pt 3.39-3.43, 3 Tl 3.60-3.65
Ba (0.7973, 0.4486, 0.8262)  3 Pt 3.39-3.43, 3 Tl 3.60-3.65
Ba (0.9486, 0.2973, 0.3262)  3 Pt 3.39-3.43, 3 Tl 3.60-3.65
Tl (0.2194, 0.2194, 0.0000)  6 Ba 3.60-3.65
Tl (0.2806, 0.2806, 0.5000)  6 Ba 3.60-3.65
Tl (0.7194, 0.7194, 0.5000)  6 Ba 3.60-3.65
Tl (0.7806, 0.7806, 0.0000)  6 Ba 3.60-3.65
Pt (0.1163, 0.8837, 0.3819)  1 Pt 2.84
Pt (0.3837, 0.6163, 0.8819)  1 Pt 2.84
Pt (0.6163, 0.3837, 0.1181)  1 Pt 2.84
Pt (0.8837, 0.1163, 0.6181)  1 Pt 2.84

Output
Energy of formation (eV/atom): -0.51
N(E_F) (states/eV/f.u.): 5.0



## BaTl2Pt (PBE-GGA)

Data for BaTl2Pt after structural relaxation.

a = 4.6398 Å, b = 4.6398 Å, c = 10.9167 Å
α = 90.00°, β = 90.00°, γ = 90.00°
Closest atoms and distances in Å follow each position.
Element x y z (fractional)
Ba (0.0000, 0.0000, 0.0000)  4 Pt 3.28, 8 Tl 3.58
Ba (0.5000, 0.5000, 0.5000)  4 Pt 3.28, 8 Tl 3.58
Tl (0.0000, 0.5000, 0.2500)  4 Tl 3.28, 4 Ba 3.58, 4 Pt 3.58
Tl (0.0000, 0.5000, 0.7500)  4 Tl 3.28, 4 Ba 3.58, 4 Pt 3.58
Tl (0.5000, 0.0000, 0.2500)  4 Tl 3.28, 4 Ba 3.58, 4 Pt 3.58
Tl (0.5000, 0.0000, 0.7500)  4 Tl 3.28, 4 Ba 3.58, 4 Pt 3.58
Pt (0.0000, 0.0000, 0.5000)  4 Ba 3.28, 8 Tl 3.58
Pt (0.5000, 0.5000, 0.0000)  4 Ba 3.28, 8 Tl 3.58

Output
Energy of formation (eV/atom): -0.19
N(E_F) (states/eV/f.u.): 1.5



## BaTlPt2 (PBE-GGA)

Data for BaTlPt2 after structural relaxation.

a = 3.6890 Å, b = 3.6890 Å, c = 7.5349 Å
α = 90.00°, β = 90.00°, γ = 90.00°
Closest atoms and distances in Å follow each position.
Element x y z (fractional)
Ba (0.0000, 0.0000, 0.0000)  1 Pt 2.97
Tl (0.5000, 0.5000, 0.6470)  1 Pt 2.72
Pt (0.0000, 0.0000, 0.3946)  4 Pt 2.73, 1 Ba 2.97
Pt (0.5000, 0.5000, 0.2862)  1 Tl 2.72, 4 Pt 2.73

Output
Energy of formation (eV/atom): -0.21
N(E_F) (states/eV/f.u.): 2.1



## BaTl6Pt6 (PBE-GGA)

Data for BaTl6Pt6 after structural relaxation.

a = 7.5768 Å, b = 7.5768 Å, c = 7.5768 Å
α = 135.79°, β = 98.29°, γ = 97.99°
Closest atoms and distances in Å follow each position.
Element x y z (fractional)
Ba (0.0000, 0.0000, 0.0000)  8 Tl 3.37-3.46, 4 Pt 3.62
Tl (0.1864, 0.6864, 0.5000)  6 Pt 2.91-2.93
Tl (0.3401, 0.0000, 0.3401)  6 Pt 3.00-3.07, 1 Tl 3.17
Tl (0.3477, 0.3477, 0.0000)  6 Pt 3.02-3.11, 3 Tl 3.03-3.27
Tl (0.6523, 0.6523, 0.0000)  6 Pt 3.02-3.11, 3 Tl 3.03-3.27
Tl (0.6599, 0.0000, 0.6599)  6 Pt 3.00-3.07, 1 Tl 3.17
Tl (0.8136, 0.3136, 0.5000)  6 Pt 2.91-2.93
Pt (0.0000, 0.0000, 0.5000)  4 Pt 2.85-2.88, 6 Tl 2.93-3.02
Pt (0.0000, 0.5000, 0.0000)  4 Pt 2.85-2.88, 6 Tl 2.93-3.02
Pt (0.2258, 0.5000, 0.7258)  4 Pt 2.88, 6 Tl 2.91-3.11
Pt (0.5000, 0.0000, 0.0000)  4 Pt 2.85-2.88, 6 Tl 2.93-3.02
Pt (0.5000, 0.5000, 0.5000)  4 Pt 2.85-2.88, 6 Tl 2.93-3.02
Pt (0.7742, 0.5000, 0.2742)  4 Pt 2.88, 6 Tl 2.91-3.11

Output
Energy of formation (eV/atom): -0.19
N(E_F) (states/eV/f.u.): 5.2



## BaTl2Pt2 (PBE-GGA)

Data for BaTl2Pt2 after structural relaxation.

a = 8.4862 Å, b = 8.4862 Å, c = 3.4040 Å
α = 90.00°, β = 90.00°, γ = 90.00°
Closest atoms and distances in Å follow each position.
Element x y z (fractional)
Ba (0.0000, 0.0000, 0.0000)  4 Tl 3.36, 2 Ba 3.40, 8 Pt 3.56
Ba (0.5000, 0.5000, 0.0000)  4 Tl 3.36, 2 Ba 3.40, 8 Pt 3.56
Tl (0.1248, 0.3752, 0.0000)  6 Pt 2.93-3.10, 1 Tl 2.99
Tl (0.3752, 0.8752, 0.0000)  6 Pt 2.93-3.10, 1 Tl 2.99
Tl (0.6248, 0.1248, 0.0000)  6 Pt 2.93-3.10, 1 Tl 2.99
Tl (0.8752, 0.6248, 0.0000)  6 Pt 2.93-3.10, 1 Tl 2.99
Pt (0.1762, 0.6762, 0.5000)  6 Tl 2.93-3.10
Pt (0.3238, 0.1762, 0.5000)  6 Tl 2.93-3.10
Pt (0.6762, 0.8238, 0.5000)  6 Tl 2.93-3.10
Pt (0.8238, 0.3238, 0.5000)  6 Tl 2.93-3.10

Output
Energy of formation (eV/atom): -0.14
N(E_F) (states/eV/f.u.): 2.4



## BaTl2Pt (PBE-GGA)

Data for BaTl2Pt after structural relaxation.

a = 5.2036 Å, b = 6.0138 Å, c = 7.8229 Å
α = 90.00°, β = 90.00°, γ = 90.00°
Closest atoms and distances in Å follow each position.
Element x y z (fractional)
Ba (0.0000, 0.0000, 0.0000)  4 Pt 3.30-3.65, 5 Tl 3.43-3.66
Ba (0.5000, 0.5000, 0.5000)  4 Pt 3.30-3.65, 5 Tl 3.43-3.66
Tl (0.0000, 0.0000, 0.5326)  2 Pt 2.82
Tl (0.0000, 0.5000, 0.7864)  1 Pt 3.02, 2 Tl 3.24
Tl (0.5000, 0.0000, 0.2864)  1 Pt 3.02, 2 Tl 3.24
Tl (0.5000, 0.5000, 0.0326)  2 Pt 2.82
Pt (0.0000, 0.5000, 0.1726)  3 Tl 2.82-3.02
Pt (0.5000, 0.0000, 0.6726)  3 Tl 2.82-3.02

Output
Energy of formation (eV/atom): -0.25
N(E_F) (states/eV/f.u.): 2.8